1.
# Sr3ZrTi, optimized geometry, DFT PBE-GGA
data_Sr3ZrTi
_chemical_formula_sum 'Sr3 Zr1 Ti1'
_cell_length_a 6.006
_cell_length_b 6.006
_cell_length_c 6.006
_cell_angle_alpha 90.00
_cell_angle_beta 90.00
_cell_angle_gamma 90.00
_symmetry_space_group_name_H-M 'P m -3 m'
_symmetry_Int_Tables_number 221
_symmetry_space_group_name_Hall '-P 4 2 3'
loop_
_atom_site_label
_atom_site_type_symbol
_atom_site_fract_x
_atom_site_fract_y
_atom_site_fract_z
Sr1 Sr 0.000 0.000 0.500
Zr1 Zr 0.000 0.000 0.000
Ti1 Ti 0.500 0.500 0.500
# calculated volume	217	Å³/cell
# formation energy	1295	meV/atom
# Fermi-level density of states	4.474	states/eV/cell
# distance to the lowest polymorph of the same formula	19	meV/atom
# total energy	-15.02	eV for the cell shown

2.
# SrZr2Ti2, optimized geometry, DFT PBE-GGA
data_SrZr2Ti2
_chemical_formula_sum 'Sr2 Zr4 Ti4'
_cell_length_a 8.629
_cell_length_b 8.629
_cell_length_c 3.257
_cell_angle_alpha 90.00
_cell_angle_beta 90.00
_cell_angle_gamma 90.00
_symmetry_space_group_name_H-M 'P 4/m b m'
_symmetry_Int_Tables_number 127
_symmetry_space_group_name_Hall '-P 4 2ab'
loop_
_atom_site_label
_atom_site_type_symbol
_atom_site_fract_x
_atom_site_fract_y
_atom_site_fract_z
Sr1 Sr 0.000 0.000 0.000
Zr1 Zr 0.168 0.332 0.500
Ti1 Ti 0.116 0.616 0.000
# calculated volume	243	Å³/cell
# formation energy	310	meV/atom
# Fermi-level density of states	16.239	states/eV/cell
# distance to the lowest polymorph of the same formula	0	meV/atom
# total energy	-66.04	eV for the cell shown

3.
# SrZr3Ti, optimized geometry, DFT PBE-GGA
data_SrZr3Ti
_chemical_formula_sum 'Sr1 Zr3 Ti1'
_cell_length_a 5.195
_cell_length_b 5.195
_cell_length_c 5.195
_cell_angle_alpha 90.00
_cell_angle_beta 90.00
_cell_angle_gamma 90.00
_symmetry_space_group_name_H-M 'P m -3 m'
_symmetry_Int_Tables_number 221
_symmetry_space_group_name_Hall '-P 4 2 3'
loop_
_atom_site_label
_atom_site_type_symbol
_atom_site_fract_x
_atom_site_fract_y
_atom_site_fract_z
Sr1 Sr 0.000 0.000 0.000
Zr1 Zr 0.000 0.500 0.500
Ti1 Ti 0.500 0.500 0.500
# calculated volume	140	Å³/cell
# formation energy	666	meV/atom
# Fermi-level density of states	7.892	states/eV/cell
# distance to the lowest polymorph of the same formula	0	meV/atom
# total energy	-31.89	eV for the cell shown

4.
# Sr3ZrTi, optimized geometry, DFT PBE-GGA
data_Sr3ZrTi
_chemical_formula_sum 'Sr3 Zr1 Ti1'
_cell_length_a 5.805
_cell_length_b 5.805
_cell_length_c 5.805
_cell_angle_alpha 90.00
_cell_angle_beta 90.00
_cell_angle_gamma 90.00
_symmetry_space_group_name_H-M 'P m -3 m'
_symmetry_Int_Tables_number 221
_symmetry_space_group_name_Hall '-P 4 2 3'
loop_
_atom_site_label
_atom_site_type_symbol
_atom_site_fract_x
_atom_site_fract_y
_atom_site_fract_z
Sr1 Sr 0.000 0.000 0.500
Zr1 Zr 0.500 0.500 0.500
Ti1 Ti 0.000 0.000 0.000
# calculated volume	196	Å³/cell
# formation energy	1276	meV/atom
# Fermi-level density of states	6.838	states/eV/cell
# distance to the lowest polymorph of the same formula	0	meV/atom
# total energy	-15.11	eV for the cell shown

5.
# SrZr2Ti, optimized geometry, DFT PBE-GGA
data_SrZr2Ti
_chemical_formula_sum 'Sr4 Zr8 Ti4'
_cell_length_a 7.404
_cell_length_b 7.404
_cell_length_c 7.404
_cell_angle_alpha 90.00
_cell_angle_beta 90.00
_cell_angle_gamma 90.00
_symmetry_space_group_name_H-M 'F m -3 m'
_symmetry_Int_Tables_number 225
_symmetry_space_group_name_Hall '-F 4 2 3'
loop_
_atom_site_label
_atom_site_type_symbol
_atom_site_fract_x
_atom_site_fract_y
_atom_site_fract_z
Sr1 Sr 0.000 0.000 0.000
Zr1 Zr 0.250 0.250 0.250
Ti1 Ti 0.000 0.000 0.500
# calculated volume	406	Å³/cell
# formation energy	646	meV/atom
# Fermi-level density of states	23.124	states/eV/cell
# distance to the lowest polymorph of the same formula	0	meV/atom
# total energy	-96.35	eV for the cell shown

6.
# SrTl2, optimized geometry, DFT PBE-GGA
data_SrTl2
_chemical_formula_sum 'Sr2 Tl4'
_cell_length_a 5.6937
_cell_length_b 5.6937
_cell_length_c 6.9084
_cell_angle_alpha 90.00
_cell_angle_beta 90.00
_cell_angle_gamma 120.00
_symmetry_space_group_name_H-M 'P 63/m m c'
_symmetry_Int_Tables_number 194
_symmetry_space_group_name_Hall '-P 6c 2c'
loop_
_atom_site_label
_atom_site_type_symbol
_atom_site_fract_x
_atom_site_fract_y
_atom_site_fract_z
Sr1 Sr 0.3333 0.6667 0.2500
Tl1 Tl 0.0000 0.0000 0.0000
Tl2 Tl 0.3333 0.6667 0.7500
# calculated volume	194	Å³/cell
# formation energy	-288	meV/atom
# Fermi-level density of states	3.899	states/eV/cell
# total energy	-14.56	eV for the cell shown

7.
# SrTl4, optimized geometry, DFT PBE-GGA
data_SrTl4
_chemical_formula_sum 'Sr2 Tl8'
_cell_length_a 5.744
_cell_length_b 7.762
_cell_length_c 8.778
_cell_angle_alpha 90.00
_cell_angle_beta 122.69
_cell_angle_gamma 90.00
_symmetry_space_group_name_H-M 'P 1 21/c 1'
_symmetry_Int_Tables_number 14
loop_
_symmetry_equiv_pos_as_xyz
'x,y,z'
'-x,-y,-z'
'-x,y+1/2,-z+1/2'
'x,-y+1/2,z+1/2'
loop_
_atom_site_label
_atom_site_type_symbol
_atom_site_fract_x
_atom_site_fract_y
_atom_site_fract_z
Sr1 Sr 0.000 0.000 0.000
Tl1 Tl 0.240 0.045 0.705
Tl2 Tl 0.400 0.695 0.955
# calculated volume	329	Å³/cell
# formation energy	-146	meV/atom
# Fermi-level density of states	5.082	states/eV/cell
# total energy	-23.75	eV for the cell shown

8.
# Sr4Tl5, optimized geometry, DFT PBE-GGA
data_Sr4Tl5
_chemical_formula_sum 'Sr8 Tl10'
_cell_length_a 10.1315
_cell_length_b 10.1315
_cell_length_c 7.0664
_cell_angle_alpha 90.00
_cell_angle_beta 90.00
_cell_angle_gamma 120.00
_symmetry_space_group_name_H-M 'P 63/m c m'
_symmetry_Int_Tables_number 193
_symmetry_space_group_name_Hall '-P 6c 2'
loop_
_atom_site_label
_atom_site_type_symbol
_atom_site_fract_x
_atom_site_fract_y
_atom_site_fract_z
Sr1 Sr 0.0000 0.0000 0.0000
Sr2 Sr 0.0000 0.3705 0.2500
Tl1 Tl 0.0000 0.2992 0.7500
Tl2 Tl 0.3333 0.6667 0.0000
# calculated volume	628	Å³/cell
# formation energy	-304	meV/atom
# Fermi-level density of states	11.685	states/eV/cell
# distance to the lowest polymorph of the same formula	0	meV/atom
# total energy	-42.59	eV for the cell shown

9.
# Sr3Tl2, optimized geometry, DFT PBE-GGA
data_Sr3Tl2
_chemical_formula_sum 'Sr6 Tl4'
_cell_length_a 9.477
_cell_length_b 9.477
_cell_length_c 4.304
_cell_angle_alpha 90.00
_cell_angle_beta 90.00
_cell_angle_gamma 90.00
_symmetry_space_group_name_H-M 'P 4/m b m'
_symmetry_Int_Tables_number 127
_symmetry_space_group_name_Hall '-P 4 2ab'
loop_
_atom_site_label
_atom_site_type_symbol
_atom_site_fract_x
_atom_site_fract_y
_atom_site_fract_z
Sr1 Sr 0.000 0.000 0.000
Sr2 Sr 0.163 0.337 0.500
Tl1 Tl 0.133 0.633 0.000
# calculated volume	387	Å³/cell
# formation energy	-350	meV/atom
# Fermi-level density of states	8.261	states/eV/cell
# distance to the lowest polymorph of the same formula	0	meV/atom
# total energy	-23.06	eV for the cell shown

10.
# SrTl12, optimized geometry, DFT PBE-GGA
data_SrTl12
_chemical_formula_sum 'Sr4 Tl48'
_cell_length_a 13.015
_cell_length_b 13.015
_cell_length_c 13.015
_cell_angle_alpha 90.00
_cell_angle_beta 90.00
_cell_angle_gamma 90.00
_symmetry_space_group_name_H-M 'F m -3 m'
_symmetry_Int_Tables_number 225
_symmetry_space_group_name_Hall '-F 4 2 3'
loop_
_atom_site_label
_atom_site_type_symbol
_atom_site_fract_x
_atom_site_fract_y
_atom_site_fract_z
Sr1 Sr 0.000 0.000 0.000
Tl1 Tl 0.000 0.170 0.330
# calculated volume	2205	Å³/cell
# formation energy	248	meV/atom
# Fermi-level density of states	22.430	states/eV/cell
# total energy	-107.41	eV for the cell shown

11.
# Sr2Tl17, optimized geometry, DFT PBE-GGA
data_Sr2Tl17
_chemical_formula_sum 'Sr6 Tl51'
_cell_length_a 11.2859
_cell_length_b 11.2859
_cell_length_c 16.9938
_cell_angle_alpha 90.00
_cell_angle_beta 90.00
_cell_angle_gamma 120.00
_symmetry_space_group_name_H-M 'R -3 m'
_symmetry_Int_Tables_number 166
_symmetry_space_group_name_Hall '-R 3 2"'
loop_
_atom_site_label
_atom_site_type_symbol
_atom_site_fract_x
_atom_site_fract_y
_atom_site_fract_z
Sr1 Sr 0.0000 0.0000 0.1752
Tl1 Tl 0.0000 0.0000 0.4032
Tl2 Tl 0.0000 0.3002 0.5000
Tl3 Tl 0.0000 0.5000 0.0000
Tl4 Tl 0.0137 0.5069 0.6441
# calculated volume	1875	Å³/cell
# formation energy	-49	meV/atom
# Fermi-level density of states	32.834	states/eV/cell
# total energy	-133.54	eV for the cell shown

12.
# SrTl2, optimized geometry, DFT PBE-GGA
data_SrTl2
_chemical_formula_sum 'Sr4 Tl8'
_cell_length_a 12.262
_cell_length_b 5.222
_cell_length_c 8.195
_cell_angle_alpha 90.00
_cell_angle_beta 131.11
_cell_angle_gamma 90.00
_symmetry_space_group_name_H-M 'C 1 2/m 1'
_symmetry_Int_Tables_number 12
loop_
_symmetry_equiv_pos_as_xyz
'x,y,z'
'-x,-y,-z'
'-x,y,-z'
'x,-y,z'
'x+1/2,y+1/2,z'
'-x+1/2,-y+1/2,-z'
'-x+1/2,y+1/2,-z'
'x+1/2,-y+1/2,z'
loop_
_atom_site_label
_atom_site_type_symbol
_atom_site_fract_x
_atom_site_fract_y
_atom_site_fract_z
Sr1 Sr 0.034 0.000 0.287
Tl1 Tl 0.162 0.500 0.080
Tl2 Tl 0.167 0.500 0.666
# calculated volume	395	Å³/cell
# formation energy	-326	meV/atom
# Fermi-level density of states	5.391	states/eV/cell
# total energy	-29.57	eV for the cell shown

Question: Which formula does entry 1 have?
Answer: Sr3ZrTi